(1)
10
Lattice="-0.1436 -5.2312 2.2407 4.6112 -2.3115 2.0779 0.3130 -0.7258 5.5048" Properties=species:S:1:pos:R:3 comment="AcH3Pt, relaxed, DFT PBE-GGA" de_polymorph_ev_per_fu=0.00 dft_energy_ev_per_cell=-45.57 pbc="T T T"
Pt 2.3630 -4.0871 4.8557
Pt 4.7533 -8.2213 9.7674
Ac 1.1678 -2.0202 2.4001
Ac 3.5583 -6.1546 7.3116
H 1.1903 -2.1565 5.1875
H 1.0969 -4.6358 3.5197
H 3.5357 -6.0176 4.5238
H 3.6293 -3.5382 6.1918
H 3.3301 -3.2997 3.6246
H 1.3959 -4.8745 6.0868


(2)
14
Lattice="-4.1658 1.6839 2.0184 -2.0650 -6.1410 0.8611 3.4667 2.9684 4.6785" Properties=species:S:1:pos:R:3 comment="AcH3Pt3, relaxed, DFT PBE-GGA" dft_energy_ev_per_cell=-72.28 pbc="T T T"
Ac -1.2626 -2.6835 2.6382
Ac -1.5016 1.1949 4.9199
Pt -4.4042 -3.5914 2.9221
Pt -3.2224 -0.0598 2.4151
Pt -2.4099 -1.8736 5.6050
Pt 1.6400 2.1027 4.6359
Pt -0.3542 0.3849 1.9530
Pt 0.4582 -1.4289 5.1430
H -3.8493 -1.7735 2.5508
H -0.0194 -0.5950 3.4616
H 0.6782 1.3689 3.2631
H -3.4424 -2.8576 4.2950
H 1.0851 0.2848 5.0072
H -2.7448 -0.8937 4.0964


Number 1: DOS at the Fermi energy 3.5 states/eV per cell. Number 2: DOS at the Fermi energy 7.1 states/eV per cell.